1.
{
  "formula": "LaFeCu2",
  "functional": "PBE",
  "state": "optimized geometry",
  "lattice_angstrom": [[4.6737, 0.0000, 0.0000], [2.3368, 4.0475, 0.0000], [2.3368, 1.3492, 3.8160]],
  "species": ["Cu", "Cu", "Fe", "La"],
  "fractional_positions": [[0.0000, 0.0000, 0.0000], [0.2500, 0.2500, 0.2500], [0.5000, 0.5000, 0.5000], [0.7500, 0.7500, 0.7500]],
  "delta_e_f_ev_per_atom": 0.34,
  "n_ef_per_ev_atom": 1.76,
  "m_tot_mub_per_cell": 2.511,
  "crystal_system": "cubic"
}

2.
{
  "formula": "La2FeCu",
  "functional": "PBE",
  "state": "optimized geometry",
  "lattice_angstrom": [[4.0650, 0.1601, -0.1488], [2.2549, 3.3860, -0.1488], [1.6506, 0.9261, 7.3832]],
  "species": ["Cu", "Fe", "La", "La"],
  "fractional_positions": [[0.7500, 0.7500, 0.7500], [0.2500, 0.2500, 0.2500], [0.0013, 0.0013, 0.0282], [0.4987, 0.4987, 0.4718]],
  "delta_e_f_ev_per_atom": 0.22,
  "n_ef_per_ev_atom": 1.41,
  "m_tot_mub_per_cell": 0.642,
  "crystal_system": "monoclinic"
}

3.
{
  "formula": "LaFeCu2",
  "functional": "PBE",
  "state": "optimized geometry",
  "lattice_angstrom": [[-2.7003, 2.7711, -1.0059], [-1.6665, -2.1717, -1.5090], [-3.8232, -2.2123, 4.1686]],
  "species": ["Cu", "Cu", "Fe", "La"],
  "fractional_positions": [[0.0000, 0.1624, 0.0501], [0.5000, 0.0467, 0.2809], [0.0000, 0.4889, 0.3978], [0.5000, 0.8021, 0.7713]],
  "delta_e_f_ev_per_atom": 0.25,
  "n_ef_per_ev_atom": 1.14,
  "m_tot_mub_per_cell": 2.465,
  "crystal_system": "orthorhombic"
}

4.
{
  "formula": "La2FeCu",
  "functional": "PBE",
  "state": "optimized geometry",
  "lattice_angstrom": [[-3.8487, -1.3936, -4.7035], [-1.9922, -4.3375, -4.0118], [-3.8827, -2.0977, 1.4930]],
  "species": ["Cu", "Fe", "La", "La"],
  "fractional_positions": [[0.5528, 0.5528, 0.4472], [0.2091, 0.2091, 0.2907], [0.9698, 0.9698, 0.0303], [0.7683, 0.7683, 0.7318]],
  "delta_e_f_ev_per_atom": 0.12,
  "n_ef_per_ev_atom": 1.36,
  "m_tot_mub_per_cell": 1.553,
  "crystal_system": "orthorhombic"
}

5.
{
  "formula": "La2FeCu",
  "functional": "PBE",
  "state": "optimized geometry",
  "lattice_angstrom": [[-2.9826, -1.7329, -0.9590], [-0.0982, -1.6035, 3.1997], [-4.0319, 5.4864, 2.6256]],
  "species": ["Cu", "Fe", "La", "La"],
  "fractional_positions": [[0.5000, 0.5000, 0.2500], [0.5000, 0.5000, 0.7500], [0.0000, 0.0000, 0.9867], [0.0000, 0.0000, 0.5133]],
  "delta_e_f_ev_per_atom": 0.08,
  "n_ef_per_ev_atom": 1.37,
  "m_tot_mub_per_cell": 1.187,
  "crystal_system": "tetragonal"
}

6.
{
  "formula": "La2FeCu",
  "functional": "PBE",
  "state": "optimized geometry",
  "lattice_angstrom": [[7.6637, 0.0000, 0.0000], [0.0000, 7.6637, 0.0000], [3.8319, 3.8319, 3.1298]],
  "species": ["Fe", "Fe", "Cu", "Cu", "La", "La", "La", "La"],
  "fractional_positions": [[0.5000, 0.5000, 0.0000], [0.2500, 0.7500, 0.5000], [0.0000, 0.0000, 0.0000], [0.7500, 0.2500, 0.5000], [0.5805, 0.1250, 0.2500], [0.1695, 0.6250, 0.2500], [0.3750, 0.4195, 0.7500], [0.8750, 0.8305, 0.7500]],
  "delta_e_f_ev_per_atom": 0.32,
  "n_ef_per_ev_atom": 1.28,
  "m_tot_mub_per_cell": 0.000,
  "crystal_system": "tetragonal"
}